DFT (PBE) results for ScPOsO after structural relaxation.

Summary:
VASP energy in eV/atom: -7.05
Magnetic moment in μB per cell: 0.006

```
data_ScPOsO
_chemical_formula_sum 'Sc2 P2 Os2 O2'
_space_group_name_H-M_alt 'P 4/n m m'
_space_group_IT_number 129
_cell_length_a 4.1397
_cell_length_b 4.1397
_cell_length_c 6.2961
_cell_angle_alpha 90.00
_cell_angle_beta 90.00
_cell_angle_gamma 90.00
loop_
_space_group_symop_operation_xyz
'x,y,z'
'-x,-y,-z'
'-y+1/2,x,z'
'y+1/2,-x,-z'
'-x+1/2,-y+1/2,z'
'x+1/2,y+1/2,-z'
'y,-x+1/2,z'
'-y,x+1/2,-z'
'x+1/2,-y,-z'
'-x+1/2,y,z'
'-y,-x,-z'
'y,x,z'
'-x,y+1/2,-z'
'x,-y+1/2,z'
'y+1/2,x+1/2,-z'
'-y+1/2,-x+1/2,z'
loop_
_atom_site_label
_atom_site_fract_x
_atom_site_fract_y
_atom_site_fract_z
_atom_site_occupancy
Sc1 0.2500 0.7500 0.0000 1
P1 0.2500 0.2500 0.2653 1
Os1 0.2500 0.2500 0.6487 1
O1 0.2500 0.7500 0.5000 1
```

***

DFT (PBE) results for CdIn2Ga after structural relaxation.

Summary:
VASP energy in eV/atom: -2.29

```
data_CdIn2Ga
_chemical_formula_sum 'Cd4 In8 Ga4'
_space_group_name_H-M_alt 'F -4 3 m'
_space_group_IT_number 216
_space_group_name_Hall 'F -4 2 3'
_cell_length_a 7.3095
_cell_length_b 7.3095
_cell_length_c 7.3095
_cell_angle_alpha 90.00
_cell_angle_beta 90.00
_cell_angle_gamma 90.00
loop_
_atom_site_label
_atom_site_fract_x
_atom_site_fract_y
_atom_site_fract_z
_atom_site_occupancy
Cd1 0.0000 0.0000 0.0000 1
In1 0.0000 0.0000 0.5000 1
In2 0.2500 0.2500 0.2500 1
Ga1 0.2500 0.2500 0.7500 1
```

***

DFT (PBE) results for Sc3AuN2 after structural relaxation.

Summary:
VASP energy in eV/atom: -7.94
Magnetic moment in μB per cell: 0.102

```
data_Sc3AuN2
_chemical_formula_sum 'Sc6 Au2 N4'
_space_group_name_H-M_alt 'P 63/m m c'
_space_group_IT_number 194
_space_group_name_Hall '-P 6c 2c'
_cell_length_a 3.2080
_cell_length_b 3.2080
_cell_length_c 19.2624
_cell_angle_alpha 90.00
_cell_angle_beta 90.00
_cell_angle_gamma 120.00
loop_
_atom_site_label
_atom_site_fract_x
_atom_site_fract_y
_atom_site_fract_z
_atom_site_occupancy
Sc1 0.0000 0.0000 0.0000 1
Sc2 0.3333 0.6667 0.1312 1
Au1 0.0000 0.0000 0.2500 1
N1 0.3333 0.6667 0.5693 1
```

***

DFT (PBE) results for CuSbOsPb after structural relaxation.

Summary:
VASP energy in eV/atom: -5.05
Magnetic moment in μB per cell: 0.006

```
data_CuSbOsPb
_chemical_formula_sum 'Cu4 Sb4 Os4 Pb4'
_space_group_name_H-M_alt 'F -4 3 m'
_space_group_IT_number 216
_space_group_name_Hall 'F -4 2 3'
_cell_length_a 6.7101
_cell_length_b 6.7101
_cell_length_c 6.7101
_cell_angle_alpha 90.00
_cell_angle_beta 90.00
_cell_angle_gamma 90.00
loop_
_atom_site_label
_atom_site_fract_x
_atom_site_fract_y
_atom_site_fract_z
_atom_site_occupancy
Cu1 0.0000 0.0000 0.0000 1
Sb1 0.2500 0.2500 0.7500 1
Os1 0.0000 0.0000 0.5000 1
Pb1 0.2500 0.2500 0.2500 1
```

***

DFT (PBE) results for Co2AgPt after structural relaxation.

Summary:
VASP energy in eV/atom: -5.46
DFT formation energy in kJ/mol of formula units: 122
Magnetic moment in μB per cell: 16.200

```
data_Co2AgPt
_chemical_formula_sum 'Co8 Ag4 Pt4'
_space_group_name_H-M_alt 'F -4 3 m'
_space_group_IT_number 216
_space_group_name_Hall 'F -4 2 3'
_cell_length_a 6.0994
_cell_length_b 6.0994
_cell_length_c 6.0994
_cell_angle_alpha 90.00
_cell_angle_beta 90.00
_cell_angle_gamma 90.00
loop_
_atom_site_label
_atom_site_fract_x
_atom_site_fract_y
_atom_site_fract_z
_atom_site_occupancy
Co1 0.0000 0.0000 0.0000 1
Co2 0.2500 0.2500 0.2500 1
Ag1 0.2500 0.2500 0.7500 1
Pt1 0.0000 0.0000 0.5000 1
```

***

DFT (PBE) results for Zr4AsPC2 after structural relaxation.

Summary:
VASP energy in eV/atom: -8.85
Magnetic moment in μB per cell: 0.000

```
data_Zr4AsPC2
_chemical_formula_sum 'Zr4 As1 P1 C2'
_space_group_name_H-M_alt 'P -6 m 2'
_space_group_IT_number 187
_space_group_name_Hall 'P -6 2'
_cell_length_a 3.4670
_cell_length_b 3.4670
_cell_length_c 12.4874
_cell_angle_alpha 90.00
_cell_angle_beta 90.00
_cell_angle_gamma 120.00
loop_
_atom_site_label
_atom_site_fract_x
_atom_site_fract_y
_atom_site_fract_z
_atom_site_occupancy
Zr1 0.0000 0.0000 0.1425 1
Zr2 0.6667 0.3333 0.3460 1
As1 0.0000 0.0000 0.5000 1
P1 0.6667 0.3333 0.0000 1
C1 0.3333 0.6667 0.2457 1
```

***

DFT (PBE) results for Tb3Sn2Pb5 after structural relaxation.

Summary:
VASP energy in eV/atom: -4.44
Magnetic moment in μB per cell: 0.008

```
data_Tb3Sn2Pb5
_chemical_formula_sum 'Tb6 Sn4 Pb10'
_space_group_name_H-M_alt 'C m m m'
_space_group_IT_number 65
_space_group_name_Hall '-C 2 2'
_cell_length_a 4.5065
_cell_length_b 26.9221
_cell_length_c 4.6089
_cell_angle_alpha 90.00
_cell_angle_beta 90.00
_cell_angle_gamma 90.00
loop_
_atom_site_label
_atom_site_fract_x
_atom_site_fract_y
_atom_site_fract_z
_atom_site_occupancy
Tb1 0.0000 0.0000 0.0000 1
Tb2 0.0000 0.3111 0.5000 1
Sn1 0.0000 0.0961 0.5000 1
Pb1 0.0000 0.2090 0.0000 1
Pb2 0.0000 0.4029 0.0000 1
Pb3 0.0000 0.5000 0.5000 1
```

***

DFT (PBE) results for CuMoPd after structural relaxation.

Summary:
VASP energy in eV/atom: -5.97
DFT formation energy in kJ/mol of formula units: 178
Magnetic moment in μB per cell: 0.009

```
data_CuMoPd
_chemical_formula_sum 'Cu4 Mo4 Pd4'
_space_group_name_H-M_alt 'F -4 3 m'
_space_group_IT_number 216
_space_group_name_Hall 'F -4 2 3'
_cell_length_a 5.8583
_cell_length_b 5.8583
_cell_length_c 5.8583
_cell_angle_alpha 90.00
_cell_angle_beta 90.00
_cell_angle_gamma 90.00
loop_
_atom_site_label
_atom_site_fract_x
_atom_site_fract_y
_atom_site_fract_z
_atom_site_occupancy
Cu1 0.0000 0.0000 0.0000 1
Mo1 0.0000 0.0000 0.5000 1
Pd1 0.2500 0.2500 0.2500 1
```

***

DFT (PBE) results for NpZn after structural relaxation.

Summary:
VASP energy in eV/atom: -7.00
DFT formation energy in kJ/mol of formula units: 3
Magnetic moment in μB per cell: 2.955

```
data_NpZn
_chemical_formula_sum 'Np1 Zn1'
_space_group_name_H-M_alt 'P -6 m 2'
_space_group_IT_number 187
_space_group_name_Hall 'P -6 2'
_cell_length_a 2.8030
_cell_length_b 2.8030
_cell_length_c 5.3689
_cell_angle_alpha 90.00
_cell_angle_beta 90.00
_cell_angle_gamma 120.00
loop_
_atom_site_label
_atom_site_fract_x
_atom_site_fract_y
_atom_site_fract_z
_atom_site_occupancy
Np1 0.0000 0.0000 0.0000 1
Zn1 0.6667 0.3333 0.5000 1
```

***

DFT (PBE) results for Tb2GdPb7 after structural relaxation.

Summary:
VASP energy in eV/atom: -4.35
Magnetic moment in μB per cell: 0.017

```
data_Tb2GdPb7
_chemical_formula_sum 'Tb4 Gd2 Pb14'
_space_group_name_H-M_alt 'C m m m'
_space_group_IT_number 65
_space_group_name_Hall '-C 2 2'
_cell_length_a 4.6908
_cell_length_b 25.9084
_cell_length_c 4.7084
_cell_angle_alpha 90.00
_cell_angle_beta 90.00
_cell_angle_gamma 90.00
loop_
_atom_site_label
_atom_site_fract_x
_atom_site_fract_y
_atom_site_fract_z
_atom_site_occupancy
Tb1 0.0000 0.1888 0.0000 1
Gd1 0.0000 0.0000 0.0000 1
Pb1 0.0000 0.0976 0.5000 1
Pb2 0.0000 0.2936 0.5000 1
Pb3 0.0000 0.4032 0.0000 1
Pb4 0.0000 0.5000 0.5000 1
```

***

DFT (PBE) results for CdCuNiPb after structural relaxation.

Summary:
VASP energy in eV/atom: -3.10
Magnetic moment in μB per cell: 0.033

```
data_CdCuNiPb
_chemical_formula_sum 'Cd4 Cu4 Ni4 Pb4'
_space_group_name_H-M_alt 'F -4 3 m'
_space_group_IT_number 216
_space_group_name_Hall 'F -4 2 3'
_cell_length_a 6.6522
_cell_length_b 6.6522
_cell_length_c 6.6522
_cell_angle_alpha 90.00
_cell_angle_beta 90.00
_cell_angle_gamma 90.00
loop_
_atom_site_label
_atom_site_fract_x
_atom_site_fract_y
_atom_site_fract_z
_atom_site_occupancy
Cd1 0.0000 0.0000 0.0000 1
Cu1 0.0000 0.0000 0.5000 1
Ni1 0.2500 0.2500 0.7500 1
Pb1 0.2500 0.2500 0.2500 1
```

***

DFT (PBE) results for Cu4Ag after structural relaxation.

Summary:
VASP energy in eV/atom: -3.46
DFT formation energy in kJ/mol of formula units: 37

```
data_Cu4Ag
_chemical_formula_sum 'Cu8 Ag2'
_space_group_name_H-M_alt 'P -1'
_space_group_IT_number 2
_cell_length_a 4.5443
_cell_length_b 4.5997
_cell_length_c 6.9816
_cell_angle_alpha 102.51
_cell_angle_beta 108.55
_cell_angle_gamma 99.78
loop_
_space_group_symop_operation_xyz
'x,y,z'
'-x,-y,-z'
loop_
_atom_site_label
_atom_site_fract_x
_atom_site_fract_y
_atom_site_fract_z
_atom_site_occupancy
Cu1 0.0000 0.0000 0.0000 1
Cu2 0.0000 0.5000 0.5000 1
Cu3 0.1925 0.0832 0.6940 1
Cu4 0.3984 0.2007 0.4000 1
Cu5 0.4074 0.7149 0.8985 1
Ag1 0.2074 0.6049 0.2058 1
```

***

VASP energy of number 4 (CuSbOsPb)?
-5.05 eV/atom